Record 1
DFT (SCAN) results for YTa2Ru at its PBEsol-relaxed geometry.

Calculated values
**ΔH_f (0 K)**: -0.080 eV/atom
**Magnetic moment**: 0.0 μB/f.u.
**ΔE to the lowest computed polymorph**: 0 meV per atom
**E_tot**: -49.0392 eV/atom

```
4
Lattice="-0.734 3.011 -0.842 -4.514 -1.087 0.044 2.367 0.299 5.131" Properties=species:S:1:pos:R:3 pbc="T T T"
Ta -2.743 1.544 1.787
Ta -0.138 0.678 2.546
Ru -2.257 -0.544 0.022
Y -0.367 1.506 -0.421
```

***

Record 2
DFT (SCAN) results for YTaRu2 at its PBEsol-relaxed geometry.

Calculated values
**ΔH_f (0 K)**: -0.431 eV/atom
**Magnetic moment**: 0.0 μB/f.u.
**E_tot**: -41.4507 eV/atom

```
4
Lattice="-1.440 1.413 4.094 -1.964 -2.954 2.872 2.202 -1.320 3.774" Properties=species:S:1:pos:R:3 pbc="T T T"
Ta -0.601 -1.431 5.370
Y 0.000 0.000 0.000
Ru -0.301 -0.715 2.685
Ru -0.902 -2.146 8.055
```

***

Record 3
DFT (SCAN) results for YTaRu2 at its PBEsol-relaxed geometry.

Calculated values
**ΔH_f (0 K)**: -0.110 eV/atom
**Magnetic moment**: 0.0 μB/f.u.
**E_tot**: -41.1293 eV/atom

```
4
Lattice="3.213 0.000 0.000 0.000 4.441 -0.166 -1.607 -2.048 4.874" Properties=species:S:1:pos:R:3 pbc="T T T"
Ru 1.607 0.088 2.513
Ru 0.000 0.003 0.024
Y 0.000 2.306 2.323
Ta 0.000 0.169 4.640
```

***

Record 4
DFT (SCAN) results for YTaRu2 at its PBEsol-relaxed geometry.

Calculated values
**ΔH_f (0 K)**: -0.078 eV/atom
**Magnetic moment**: 0.0 μB/f.u.
**E_tot**: -41.0973 eV/atom

```
4
Lattice="-1.762 2.541 -0.476 -1.130 -1.997 3.800 4.313 3.307 1.693" Properties=species:S:1:pos:R:3 pbc="T T T"
Ru 0.234 0.606 2.369
Ru 1.186 3.245 2.648
Y -0.881 1.271 -0.238
Ta 2.156 1.654 0.846
```

***

Record 5
DFT (SCAN) results for Ta2Zn2Ru at its PBEsol-relaxed geometry.

Calculated values
**ΔH_f (0 K)**: 0.503 eV/atom
**Magnetic moment**: 1.0 μB/f.u.
**E_tot**: -38.5017 eV/atom

```
5
Lattice="3.739 0.000 0.000 0.000 3.739 0.000 -1.869 -1.869 5.821" Properties=species:S:1:pos:R:3 pbc="T T T"
Zn 0.000 0.000 4.745
Zn 1.869 1.869 1.076
Ta 1.869 0.000 2.911
Ta 0.000 1.869 2.911
Ru 0.000 0.000 0.000
```

***

Record 6
DFT (SCAN) results for TaZnRu2 at its PBEsol-relaxed geometry.

Calculated values
**ΔH_f (0 K)**: -0.432 eV/atom
**Magnetic moment**: 0.0 μB/f.u.
**E_tot**: -37.8697 eV/atom

```
4
Lattice="3.105 0.000 0.000 0.000 3.105 0.000 0.000 0.000 5.919" Properties=species:S:1:pos:R:3 pbc="T T T"
Ta 1.553 1.553 0.000
Zn 1.553 1.553 2.959
Ru 0.000 0.000 4.397
Ru 0.000 0.000 1.522
```